(1)
The following is a DFT calculation (PBE) of a relaxed ReRu2Se crystal.

The structure belongs to space group F-43m (No. 216); the cell edges are 6.1863, 6.1863 and 6.1863 Å and the angles 90.00°, 90.00° and 90.00°. The distinct sites, in fractional coordinates, are Re at (0.0000, 0.0000, 0.0000), Ru at (0.0000, 0.0000, 0.5000), Ru at (0.2500, 0.2500, 0.7500) and Se at (0.2500, 0.2500, 0.2500).

As for the density of states at the Fermi level: 4.28 states/eV/f.u. Its uncorrected formation energy is 0.553 eV/atom. Its volume is 14.797 Å³/atom.

=====

(2)
The following is a DFT calculation (PBE) of a relaxed ReRu3Se crystal.

The structure belongs to space group Pm-3m (No. 221); the cell edges are 4.4654, 4.4654 and 4.4654 Å and the angles 90.00°, 90.00° and 90.00°. The distinct sites, in fractional coordinates, are Re at (0.0000, 0.0000, 0.0000), Ru at (0.0000, 0.5000, 0.5000) and Se at (0.5000, 0.5000, 0.5000).

As for the density of states at the Fermi level: 8.15 states/eV/f.u. Its uncorrected formation energy is 1.525 eV/atom. Its volume is 17.808 Å³/atom.

=====

> Which of these has the highest uncorrected formation energy?

ReRu3Se

=====

> Among the records above, which one has the highest uncorrected formation energy?

ReRu3Se